[1]
Below is CaTlI3 after structural relaxation, with properties calculated at the GGA-PBE level.

Unit cell a=6.1309 b=6.1309 c=6.1309 alpha=90.00 beta=90.00 gamma=90.00
Last column: nearest neighbours and their distance in Å.
Fractional positions:
I 0.0000 0.0000 0.5000  2 Ca 3.07
I 0.0000 0.5000 0.0000  2 Ca 3.07
Ca 0.0000 0.0000 0.0000  6 I 3.07
I 0.5000 0.0000 0.0000  2 Ca 3.07
Tl 0.5000 0.5000 0.5000  12 I 4.34

N(E_F)   0.0 states/eV per cell
Raw formation energy   -5.61 eV per formula unit

[2]
Below is CaTl4I6 after structural relaxation, with properties calculated at the GGA-PBE level.

Unit cell a=9.7899 b=9.7899 c=9.7899 alpha=89.92 beta=89.92 gamma=90.08
Last column: nearest neighbours and their distance in Å.
Fractional positions:
Tl 0.8580 0.2500 0.3580  8 I 3.65-3.81
Tl 0.2500 0.6420 0.1420  8 I 3.65-3.81
I 0.8065 0.5712 0.5571  1 Ca 3.13
I 0.5712 0.4429 0.1935  1 Ca 3.13
I 0.0712 0.3065 0.0571  1 Ca 3.13
Tl 0.1420 0.7500 0.6420  8 I 3.65-3.81
I 0.4288 0.5571 0.8065  1 Ca 3.13
I 0.4429 0.8065 0.4288  1 Ca 3.13
I 0.9429 0.0712 0.6935  1 Ca 3.13
Ca 0.5000 0.5000 0.5000  6 I 3.13
I 0.5571 0.1935 0.5712  1 Ca 3.13
Tl 0.7500 0.3580 0.8580  8 I 3.65-3.81
Tl 0.3580 0.1420 0.2500  8 I 3.65-3.81
Ca 0.0000 0.0000 0.0000  6 I 3.13
Tl 0.7500 0.7500 0.2500  6 I 3.52
I 0.1935 0.4288 0.4429  1 Ca 3.13
I 0.6935 0.0571 0.0712  1 Ca 3.13
I 0.0571 0.9288 0.3065  1 Ca 3.13
Tl 0.6420 0.8580 0.7500  8 I 3.65-3.81
I 0.9288 0.6935 0.9429  1 Ca 3.13
Tl 0.2500 0.2500 0.7500  6 I 3.52
I 0.3065 0.9429 0.9288  1 Ca 3.13

N(E_F)   0.0 states/eV per cell
Raw formation energy   -9.94 eV per formula unit

[3]
Below is CaTl3I after structural relaxation, with properties calculated at the GGA-PBE level.

Unit cell a=6.2893 b=6.2893 c=6.2893 alpha=90.00 beta=90.00 gamma=90.00
Last column: nearest neighbours and their distance in Å.
Fractional positions:
Tl 0.0000 0.5000 0.0000  2 I 3.14
Tl 0.5000 0.0000 0.0000  2 I 3.14
I 0.0000 0.0000 0.0000  6 Tl 3.14
Tl 0.0000 0.0000 0.5000  2 I 3.14
Ca 0.5000 0.5000 0.5000  12 Tl 4.45

N(E_F)   3.5 states/eV per cell
Raw formation energy   0.82 eV per formula unit
Relative energy among the computed polymorphs   0.000 eV per atom

[4]
Below is CaTl2I after structural relaxation, with properties calculated at the GGA-PBE level.

Unit cell a=5.8127 b=5.8127 c=5.8127 alpha=60.00 beta=60.00 gamma=60.00
Last column: nearest neighbours and their distance in Å.
Fractional positions:
I 0.5000 0.5000 0.5000  8 Tl 3.56
Tl 0.7500 0.7500 0.7500  4 Ca 3.56, 4 I 3.56
Ca 0.0000 0.0000 0.0000  8 Tl 3.56
Tl 0.2500 0.2500 0.2500  4 I 3.56, 4 Ca 3.56

N(E_F)   3.2 states/eV per cell
Raw formation energy   -0.53 eV per formula unit
Relative energy among the computed polymorphs   0.122 eV per atom

[5]
Below is CaTl2I8 after structural relaxation, with properties calculated at the GGA-PBE level.

Unit cell a=7.3816 b=8.9883 c=8.9883 alpha=81.14 beta=83.91 gamma=83.91
Last column: nearest neighbours and their distance in Å.
Fractional positions:
I 0.2667 0.7939 0.7939  1 Tl 2.87, 1 Ca 3.20
Tl 0.3443 0.2098 0.2098  4 I 2.79-2.88
I 0.7333 0.2061 0.2061  1 Tl 2.87, 1 Ca 3.20
I 0.8079 0.5910 0.5910  1 Tl 2.79
I 0.7736 0.0904 0.7154  1 Tl 2.88, 1 Ca 3.16
I 0.7736 0.7154 0.0904  1 Tl 2.88, 1 Ca 3.16
I 0.2264 0.2846 0.9096  1 Tl 2.88, 1 Ca 3.16
I 0.2264 0.9096 0.2846  1 Tl 2.88, 1 Ca 3.16
Tl 0.6557 0.7902 0.7902  4 I 2.79-2.88
I 0.1921 0.4090 0.4090  1 Tl 2.79
Ca 0.0000 0.0000 0.0000  6 I 3.16-3.20

Raw formation energy   -6.79 eV per formula unit

[6]
Below is Ca3TlI8 after structural relaxation, with properties calculated at the GGA-PBE level.

Unit cell a=9.1225 b=9.1133 c=9.3790 alpha=119.94 beta=90.00 gamma=120.03
Last column: nearest neighbours and their distance in Å.
Fractional positions:
I 0.2632 0.0108 0.7652  2 Ca 3.15-3.16, 1 Tl 3.26
I 0.2524 0.9892 0.2348  2 Ca 3.15-3.16, 1 Tl 3.26
I 0.7476 0.0108 0.7652  2 Ca 3.15-3.16, 1 Tl 3.26
I 0.7368 0.9892 0.2348  2 Ca 3.15-3.16, 1 Tl 3.26
I 0.2521 0.5042 0.2348  2 Ca 3.16, 1 Tl 3.25
I 0.7457 0.4915 0.2304  3 Ca 3.17
Ca 0.5000 0.5000 0.0000  6 I 3.15-3.17
Tl 0.0000 0.0000 0.0000  6 I 3.25-3.26
I 0.7479 0.4958 0.7652  2 Ca 3.16, 1 Tl 3.25
I 0.2543 0.5085 0.7696  3 Ca 3.17
Ca 0.5000 0.0000 0.0000  6 I 3.16-3.17
Ca 0.0000 0.5000 0.0000  6 I 3.15-3.17

N(E_F)   3.7 states/eV per cell
Raw formation energy   -15.52 eV per formula unit

[7]
Below is CaTl3I after structural relaxation, with properties calculated at the GGA-PBE level.

Unit cell a=6.1562 b=6.1562 c=6.1562 alpha=90.00 beta=90.00 gamma=90.00
Last column: nearest neighbours and their distance in Å.
Fractional positions:
Ca 0.0000 0.0000 0.0000  6 Tl 3.08
Tl 0.5000 0.0000 0.0000  2 Ca 3.08
Tl 0.0000 0.0000 0.5000  2 Ca 3.08
I 0.5000 0.5000 0.5000  12 Tl 4.35
Tl 0.0000 0.5000 0.0000  2 Ca 3.08

N(E_F)   6.9 states/eV per cell
Raw formation energy   1.05 eV per formula unit
Relative energy among the computed polymorphs   0.045 eV per atom

[8]
Below is CaTl3I6 after structural relaxation, with properties calculated at the GGA-PBE level.

Unit cell a=9.8024 b=9.8024 c=9.8024 alpha=91.83 beta=91.83 gamma=91.83
Last column: nearest neighbours and their distance in Å.
Fractional positions:
I 0.9207 0.2979 0.0946  1 Ca 3.16, 2 Tl 3.41-3.43
I 0.5706 0.4566 0.8088  1 Ca 3.13, 2 Tl 3.34-3.43
I 0.4294 0.5434 0.1912  1 Ca 3.13, 2 Tl 3.34-3.43
I 0.0946 0.9207 0.2979  1 Ca 3.16, 2 Tl 3.41-3.43
I 0.0793 0.7021 0.9054  1 Ca 3.16, 2 Tl 3.41-3.43
Tl 0.4264 0.7580 0.9040  6 I 3.34-3.57
I 0.1912 0.4294 0.5434  1 Ca 3.13, 2 Tl 3.34-3.43
Tl 0.2420 0.0960 0.5736  6 I 3.34-3.57
Tl 0.5736 0.2420 0.0960  6 I 3.34-3.57
Ca 0.5000 0.5000 0.5000  6 I 3.13
I 0.2979 0.0946 0.9207  1 Ca 3.16, 2 Tl 3.41-3.43
Tl 0.9040 0.4264 0.7580  6 I 3.34-3.57
I 0.7021 0.9054 0.0793  1 Ca 3.16, 2 Tl 3.41-3.43
Ca 0.0000 0.0000 0.0000  6 I 3.16
I 0.9054 0.0793 0.7021  1 Ca 3.16, 2 Tl 3.41-3.43
I 0.5434 0.1912 0.4294  1 Ca 3.13, 2 Tl 3.34-3.43
I 0.8088 0.5706 0.4566  1 Ca 3.13, 2 Tl 3.34-3.43
Tl 0.7580 0.9040 0.4264  6 I 3.34-3.57
I 0.4566 0.8088 0.5706  1 Ca 3.13, 2 Tl 3.34-3.43
Tl 0.0960 0.5736 0.2420  6 I 3.34-3.57

N(E_F)   17.9 states/eV per cell
Raw formation energy   -8.16 eV per formula unit

[9]
Below is CaTl6I8 after structural relaxation, with properties calculated at the GGA-PBE level.

Unit cell a=6.8940 b=10.5161 c=10.5161 alpha=120.00 beta=90.00 gamma=90.00
Last column: nearest neighbours and their distance in Å.
Fractional positions:
Tl 0.2835 0.3776 0.9996  5 I 3.46-3.62
Tl 0.7165 0.9996 0.6220  5 I 3.46-3.62
Tl 0.7165 0.6224 0.0004  5 I 3.46-3.62
Tl 0.2835 0.6220 0.6224  5 I 3.46-3.62
I 0.7478 0.0001 0.2518  1 Ca 3.15, 3 Tl 3.46-3.51
I 0.7478 0.2518 0.9999  1 Ca 3.15, 3 Tl 3.46-3.51
Tl 0.7165 0.3780 0.3776  5 I 3.46-3.62
I 0.4995 0.6667 0.3333  6 Tl 3.62
Tl 0.2835 0.0004 0.3780  5 I 3.46-3.62
I 0.5005 0.3333 0.6667  6 Tl 3.62
I 0.2522 0.2518 0.2518  1 Ca 3.15, 3 Tl 3.46-3.51
I 0.7478 0.7482 0.7482  1 Ca 3.15, 3 Tl 3.46-3.51
I 0.2522 0.7482 0.0001  1 Ca 3.15, 3 Tl 3.46-3.51
I 0.2522 0.9999 0.7482  1 Ca 3.15, 3 Tl 3.46-3.51
Ca 0.5000 0.0000 0.0000  6 I 3.15

N(E_F)   0.0 states/eV per cell
Raw formation energy   -12.21 eV per formula unit

[10]
Below is CaTlI2 after structural relaxation, with properties calculated at the GGA-PBE level.

Unit cell a=5.8053 b=5.8053 c=5.8053 alpha=60.00 beta=60.00 gamma=60.00
Last column: nearest neighbours and their distance in Å.
Fractional positions:
I 0.7500 0.7500 0.7500  4 Tl 3.55, 4 Ca 3.55
Tl 0.5000 0.5000 0.5000  8 I 3.55
Ca 0.0000 0.0000 0.0000  8 I 3.55
I 0.2500 0.2500 0.2500  4 Tl 3.55, 4 Ca 3.55

N(E_F)   3.2 states/eV per cell
Raw formation energy   -3.09 eV per formula unit
Relative energy among the computed polymorphs   0.092 eV per atom

[11]
Below is CaTl2I2 after structural relaxation, with properties calculated at the GGA-PBE level.

Unit cell a=8.1979 b=8.1979 c=5.9221 alpha=90.00 beta=90.00 gamma=90.00
Last column: nearest neighbours and their distance in Å.
Fractional positions:
Tl 0.3275 0.1725 0.5000  2 I 3.49
I 0.6676 0.1676 0.0000  2 Ca 3.05
Tl 0.8275 0.3275 0.5000  2 I 3.49
I 0.3324 0.8324 0.0000  2 Ca 3.05
Tl 0.1725 0.6725 0.5000  2 I 3.49
Ca 0.5000 0.5000 0.0000  4 I 3.05
I 0.8324 0.6676 0.0000  2 Ca 3.05
Ca 0.0000 0.0000 0.0000  4 I 3.05
I 0.1676 0.3324 0.0000  2 Ca 3.05
Tl 0.6725 0.8275 0.5000  2 I 3.49

N(E_F)   2.9 states/eV per cell
Raw formation energy   -2.98 eV per formula unit
Relative energy among the computed polymorphs   0.020 eV per atom

[12]
Below is CaTlI after structural relaxation, with properties calculated at the GGA-PBE level.

Unit cell a=4.7690 b=4.7672 c=11.8501 alpha=90.39 beta=90.10 gamma=119.99
Last column: nearest neighbours and their distance in Å.
Fractional positions:
Ca 0.9970 0.9948 0.2993  3 I 3.21, 3 Tl 3.36
Ca 0.0030 0.0052 0.7007  3 I 3.21, 3 Tl 3.36
I 0.3280 0.6581 0.1594  3 Ca 3.21
Tl 0.3339 0.6677 0.5387  3 Tl 2.90
I 0.6720 0.3419 0.8406  3 Ca 3.21
Tl 0.6661 0.3323 0.4613  3 Tl 2.90

N(E_F)   2.0 states/eV per cell
Raw formation energy   -2.48 eV per formula unit